[1]
Density functional theory data (PBE-GGA) for a relaxed structure of PrMgAl4.

Cell: 4.614 4.614 6.794 Å, 90.00 90.00 120.00°
Fractional coordinates of all 6 atoms:
Pr 0.000 0.000 0.500
Mg 0.000 0.000 0.000
Al 0.333 0.667 0.214
Al 0.333 0.667 0.786
Al 0.667 0.333 0.214
Al 0.667 0.333 0.786

Summary:
Formation energy   -0.29 eV/atom
Total energy   -3.85 eV per atom
Total moment   0.00 μB/f.u.
Energy relative to the lowest polymorph listed for this composition   0 meV per atom
ρ   3.62 g/cm3

---

[2]
Density functional theory data (PBE-GGA) for a relaxed structure of NdMg3Sn3.

Cell: 7.704 7.704 7.704 Å, 90.00 90.00 90.00°
Fractional coordinates of all 14 atoms:
Mg 0.250 0.000 0.500
Mg 0.000 0.500 0.250
Mg 0.500 0.750 0.000
Mg 0.750 0.000 0.500
Mg 0.000 0.500 0.750
Mg 0.500 0.250 0.000
Nd 0.500 0.500 0.500
Nd 0.000 0.000 0.000
Sn 0.000 0.250 0.500
Sn 0.000 0.750 0.500
Sn 0.500 0.000 0.750
Sn 0.750 0.500 0.000
Sn 0.500 0.000 0.250
Sn 0.250 0.500 0.000

Summary:
Formation energy   0.29 eV/atom
Total energy   -2.79 eV per atom
Total moment   0.00 μB/f.u.
ρ   4.16 g/cm3